1.
GaTcSbI2 | GGA-PBE | optimized geometry

Its crystal system is tetragonal. The value obtained for the offset from the most stable computed form is 620 meV per atom. As for the formation energy (no corrections): 5.22 eV per formula unit.

The space group is P4/mmm (No. 123) and the conventional cell measures 5.5235, 5.5235 and 5.5368 Å, with angles of 90.00, 90.00 and 90.00 degrees. Symmetry generates all atoms from Ga at (0.0000, 0.0000, 0.0000), Tc at (0.5000, 0.5000, 0.5000), Sb at (0.0000, 0.0000, 0.5000) and I at (0.0000, 0.5000, 0.0000).

2.
GaTcSb2I | GGA-PBE | optimized geometry

Its crystal system is tetragonal. The value obtained for the offset from the most stable computed form is 794 meV per atom. As for the formation energy (no corrections): 6.03 eV per formula unit.

The space group is P4/mmm (No. 123) and the conventional cell measures 5.3119, 5.3119 and 5.5009 Å, with angles of 90.00, 90.00 and 90.00 degrees. Symmetry generates all atoms from Ga at (0.0000, 0.0000, 0.0000), Tc at (0.5000, 0.5000, 0.5000), Sb at (0.0000, 0.5000, 0.0000) and I at (0.0000, 0.0000, 0.5000).

3.
GaTcSb2I | GGA-PBE | optimized geometry

Its crystal system is tetragonal. The value obtained for the offset from the most stable computed form is 0 meV per atom. As for the formation energy (no corrections): 2.06 eV per formula unit.

The space group is P4/mmm (No. 123) and the conventional cell measures 5.0826, 5.0826 and 6.0471 Å, with angles of 90.00, 90.00 and 90.00 degrees. Symmetry generates all atoms from Ga at (0.0000, 0.0000, 0.0000), Tc at (0.5000, 0.5000, 0.5000), Sb at (0.0000, 0.5000, 0.5000) and I at (0.5000, 0.5000, 0.0000).

4.
GaTcSbI2 | GGA-PBE | optimized geometry

Its crystal system is tetragonal. The value obtained for the offset from the most stable computed form is 0 meV per atom. As for the formation energy (no corrections): 2.12 eV per formula unit.

The space group is P4/mmm (No. 123) and the conventional cell measures 5.7345, 5.7345 and 5.0808 Å, with angles of 90.00, 90.00 and 90.00 degrees. Symmetry generates all atoms from Ga at (0.0000, 0.0000, 0.0000), Tc at (0.5000, 0.5000, 0.5000), Sb at (0.5000, 0.5000, 0.0000) and I at (0.0000, 0.5000, 0.5000).

5.
GaSbTeI2 | GGA-PBE | optimized geometry

Its crystal system is tetragonal. The value obtained for the offset from the most stable computed form is 0 meV per atom. As for the formation energy (no corrections): 0.32 eV per formula unit.

The space group is P4/mmm (No. 123) and the conventional cell measures 6.0746, 6.0746 and 5.7984 Å, with angles of 90.00, 90.00 and 90.00 degrees. Symmetry generates all atoms from Ga at (0.0000, 0.0000, 0.0000), Sb at (0.5000, 0.5000, 0.5000), Te at (0.5000, 0.5000, 0.0000) and I at (0.0000, 0.5000, 0.5000).

6.
GaSbTeI2 | GGA-PBE | optimized geometry

Its crystal system is tetragonal. The value obtained for the offset from the most stable computed form is 307 meV per atom. As for the formation energy (no corrections): 1.86 eV per formula unit.

The space group is P4/mmm (No. 123) and the conventional cell measures 6.2003, 6.2003 and 5.7800 Å, with angles of 90.00, 90.00 and 90.00 degrees. Symmetry generates all atoms from Ga at (0.0000, 0.0000, 0.0000), Sb at (0.5000, 0.5000, 0.0000), Te at (0.5000, 0.5000, 0.5000) and I at (0.0000, 0.5000, 0.5000).